Below is an optimized crystal structure of Li4Hg2Pd5, with properties calculated at the PBE-GGA level.

Unit cell a=4.343 b=5.506 c=8.105 alpha=109.86 beta=95.07 gamma=90.00
Fractional coordinates of all 11 atoms:
Li 0.476 0.420 0.840
Li 0.524 0.580 0.160
Li 0.419 0.840 0.680
Li 0.581 0.160 0.320
Hg 0.130 0.262 0.524
Hg 0.870 0.738 0.476
Pd 0.963 0.155 0.820
Pd 0.037 0.845 0.180
Pd 0.500 0.000 0.000
Pd 0.963 0.665 0.820
Pd 0.037 0.335 0.180

Computed properties:
SG ... C2/m, No. 12
Formation enthalpy at 0 K ... -0.28 eV/atom